# PBE Tb7PmEr5, optimized geometry
# energy of formation = 249 meV per atom
# DOS(E_F) = 1.9612 states/eV per atom
# size of the total moment = 0.00 μB/cell
# energy above the lowest structure with this stoichiometry = 2.7 meV/atom
data_Tb7PmEr5
_cell_length_a 8.682
_cell_length_b 8.682
_cell_length_c 8.682
_cell_angle_alpha 134.94
_cell_angle_beta 100.00
_cell_angle_gamma 96.90
_symmetry_space_group_name_H-M 'P 1'
_symmetry_Int_Tables_number 1
_symmetry_space_group_name_Hall 'P 1'
loop_
_atom_site_label
_atom_site_type_symbol
_atom_site_fract_x
_atom_site_fract_y
_atom_site_fract_z
Tb1 Tb 0.000 0.000 0.000
Tb2 Tb 0.076 0.748 0.328
Tb3 Tb 0.306 0.306 0.000
Tb4 Tb 0.421 0.748 0.672
Tb5 Tb 0.497 0.997 0.500
Tb6 Tb 0.579 0.250 0.329
Tb7 Tb 0.922 0.250 0.671
Pm1 Pm 0.696 0.696 0.000
Er1 Er 0.000 0.500 0.500
Er2 Er 0.269 0.264 0.535
Er3 Er 0.269 0.734 0.005
Er4 Er 0.729 0.264 0.995
Er5 Er 0.729 0.734 0.465

# PBE Tb3PmEr4, optimized geometry
# energy of formation = 172 meV per atom
# DOS(E_F) = 1.7441 states/eV per atom
# size of the total moment = 0.00 μB/cell
data_Tb3PmEr4
_cell_length_a 11.820
_cell_length_b 11.820
_cell_length_c 6.655
_cell_angle_alpha 106.25
_cell_angle_beta 106.25
_cell_angle_gamma 16.82
_symmetry_space_group_name_H-M 'P 1'
_symmetry_Int_Tables_number 1
_symmetry_space_group_name_Hall 'P 1'
loop_
_atom_site_label
_atom_site_type_symbol
_atom_site_fract_x
_atom_site_fract_y
_atom_site_fract_z
Tb1 Tb 0.000 0.000 0.000
Tb2 Tb 0.126 0.126 0.872
Tb3 Tb 0.874 0.874 0.128
Pm1 Pm 0.500 0.500 0.500
Er1 Er 0.126 0.126 0.383
Er2 Er 0.260 0.260 0.263
Er3 Er 0.740 0.740 0.737
Er4 Er 0.874 0.874 0.617

# PBE Tb12PmEr5, optimized geometry
# energy of formation = 93 meV per atom
# DOS(E_F) = 1.5126 states/eV per atom
# size of the total moment = 0.00 μB/cell
data_Tb12PmEr5
_cell_length_a 10.313
_cell_length_b 10.313
_cell_length_c 5.682
_cell_angle_alpha 90.01
_cell_angle_beta 90.01
_cell_angle_gamma 109.38
_symmetry_space_group_name_H-M 'P 1'
_symmetry_Int_Tables_number 1
_symmetry_space_group_name_Hall 'P 1'
loop_
_atom_site_label
_atom_site_type_symbol
_atom_site_fract_x
_atom_site_fract_y
_atom_site_fract_z
Tb1 Tb 0.028 0.669 0.000
Tb2 Tb 0.169 0.529 0.500
Tb3 Tb 0.198 0.198 0.499
Tb4 Tb 0.298 0.298 0.999
Tb5 Tb 0.331 0.972 0.000
Tb6 Tb 0.471 0.831 0.500
Tb7 Tb 0.529 0.169 0.500
Tb8 Tb 0.669 0.028 0.000
Tb9 Tb 0.702 0.702 0.001
Tb10 Tb 0.802 0.802 0.501
Tb11 Tb 0.831 0.471 0.500
Tb12 Tb 0.972 0.331 0.000
Pm1 Pm 0.500 0.500 0.500
Er1 Er 0.000 0.000 0.000
Er2 Er 0.137 0.863 0.500
Er3 Er 0.362 0.638 0.000
Er4 Er 0.638 0.362 0.000
Er5 Er 0.863 0.137 0.500

# PBE Tb4PmEr2, optimized geometry
# energy of formation = 283 meV per atom
# DOS(E_F) = 1.3496 states/eV per atom
# size of the total moment = 0.00 μB/cell
# energy above the lowest structure with this stoichiometry = 250.1 meV/atom
data_Tb4PmEr2
_cell_length_a 11.707
_cell_length_b 11.707
_cell_length_c 11.707
_cell_angle_alpha 157.77
_cell_angle_beta 157.77
_cell_angle_gamma 31.64
_symmetry_space_group_name_H-M 'P 1'
_symmetry_Int_Tables_number 1
_symmetry_space_group_name_Hall 'P 1'
loop_
_atom_site_label
_atom_site_type_symbol
_atom_site_fract_x
_atom_site_fract_y
_atom_site_fract_z
Tb1 Tb 0.139 0.139 0.000
Tb2 Tb 0.250 0.750 0.500
Tb3 Tb 0.750 0.250 0.500
Tb4 Tb 0.861 0.861 0.000
Pm1 Pm 0.000 0.000 0.000
Er1 Er 0.405 0.405 0.000
Er2 Er 0.595 0.595 0.000

# PBE TbPmEr, optimized geometry
# energy of formation = 1505 meV per atom
# DOS(E_F) = 1.8707 states/eV per atom
# size of the total moment = 0.01 μB/cell
# energy above the lowest structure with this stoichiometry = 1485.7 meV/atom
data_TbPmEr
_cell_length_a 5.181
_cell_length_b 5.181
_cell_length_c 5.921
_cell_angle_alpha 90.00
_cell_angle_beta 90.00
_cell_angle_gamma 120.00
_symmetry_space_group_name_H-M 'P 1'
_symmetry_Int_Tables_number 1
_symmetry_space_group_name_Hall 'P 1'
loop_
_atom_site_label
_atom_site_type_symbol
_atom_site_fract_x
_atom_site_fract_y
_atom_site_fract_z
Tb1 Tb 0.000 0.000 0.000
Pm1 Pm 0.333 0.667 0.500
Er1 Er 0.333 0.667 0.000

# PBE TbPm8Er6, optimized geometry
# energy of formation = 127 meV per atom
# DOS(E_F) = 1.5198 states/eV per atom
# size of the total moment = 0.00 μB/cell
# energy above the lowest structure with this stoichiometry = 0.0 meV/atom
data_TbPm8Er6
_cell_length_a 8.697
_cell_length_b 8.697
_cell_length_c 8.697
_cell_angle_alpha 62.90
_cell_angle_beta 62.90
_cell_angle_gamma 62.90
_symmetry_space_group_name_H-M 'P 1'
_symmetry_Int_Tables_number 1
_symmetry_space_group_name_Hall 'P 1'
loop_
_atom_site_label
_atom_site_type_symbol
_atom_site_fract_x
_atom_site_fract_y
_atom_site_fract_z
Tb1 Tb 0.000 0.000 0.000
Pm1 Pm 0.112 0.750 0.717
Pm2 Pm 0.250 0.283 0.888
Pm3 Pm 0.283 0.888 0.250
Pm4 Pm 0.422 0.422 0.422
Pm5 Pm 0.578 0.578 0.578
Pm6 Pm 0.717 0.112 0.750
Pm7 Pm 0.750 0.717 0.112
Pm8 Pm 0.888 0.250 0.283
Er1 Er 0.098 0.247 0.539
Er2 Er 0.247 0.539 0.098
Er3 Er 0.461 0.902 0.753
Er4 Er 0.539 0.098 0.247
Er5 Er 0.753 0.461 0.902
Er6 Er 0.902 0.753 0.461